Here is a relaxed structure of Tl3Zn2 from Alexandria via LeMat-Bulk. Energies are from PBE-GGA.

Cell lengths 4.7502, 4.7502, 6.8260 Å; angles 90.00, 90.00, 120.00 degrees
Space group P-3m1 (No. 164)
One atom of each set of equivalent atoms:
Tl 0.0000 0.0000 0.0000
Tl 0.3333 0.6667 0.3504
Zn 0.3333 0.6667 0.8278

Formation energy from the elements = 0.149 eV per atom

=====

Here is a relaxed structure of GdBeCu4 from Alexandria via LeMat-Bulk. Energies are from PBE-GGA.

Cell lengths 7.047, 7.047, 7.047 Å; angles 90.00, 90.00, 90.00 degrees
Space group F-43m (No. 216)
One atom of each set of equivalent atoms:
Gd 0.000 0.000 0.000
Be 0.250 0.250 0.750
Cu 0.123 0.123 0.377

Formation energy from the elements = -0.042 eV per atom

=====

Here is a relaxed structure of LaGa4Pt4 from Alexandria via LeMat-Bulk. Energies are from PBE-GGA.

Cell lengths 8.616, 8.616, 4.868 Å; angles 90.00, 90.00, 90.00 degrees
Space group I4/m (No. 87)
One atom of each set of equivalent atoms:
La 0.000 0.000 0.000
Ga 0.105 0.616 0.500
Pt 0.174 0.692 0.000

Formation energy from the elements = -0.737 eV per atom

=====

Here is a relaxed structure of LaThAl from Alexandria via LeMat-Bulk. Energies are from PBE-GGA.

Cell lengths 4.892, 4.892, 15.246 Å; angles 90.00, 90.00, 90.00 degrees
Space group I4/mmm (No. 139)
One atom of each set of equivalent atoms:
La 0.000 0.000 0.137
Th 0.000 0.000 0.372
Al 0.000 0.500 0.000

Formation energy from the elements = 0.002 eV per atom

=====

Here is a relaxed structure of TcSeCl2 from Alexandria via LeMat-Bulk. Energies are from PBE-GGA.

Cell lengths 6.318, 3.648, 8.508 Å; angles 90.00, 92.78, 90.00 degrees
Space group Cm (No. 8)
One atom of each set of equivalent atoms:
Tc 0.000 0.000 0.000
Se 0.158 0.500 0.861
Cl 0.139 0.500 0.594
Cl 0.346 0.000 0.184

E_form (uncorrected) = -0.213 eV per atom

=====

Here is a relaxed structure of TaTlBr2 from Alexandria via LeMat-Bulk. Energies are from PBE-GGA.

Cell lengths 3.208, 3.208, 11.179 Å; angles 90.00, 90.00, 90.00 degrees
Space group P4/mmm (No. 123)
One atom of each set of equivalent atoms:
Ta 0.000 0.000 0.000
Tl 0.000 0.000 0.500
Br 0.500 0.500 0.146

E_form (uncorrected) = 0.051 eV per atom

=====

Here is a relaxed structure of SiB2 from Alexandria via LeMat-Bulk. Energies are from PBE-GGA.

Cell lengths 3.034, 3.383, 11.564 Å; angles 90.00, 90.00, 90.00 degrees
Space group Immm (No. 71)
One atom of each set of equivalent atoms:
Si 0.000 0.000 0.171
B 0.000 0.000 0.349
B 0.000 0.500 0.073

E_form (uncorrected) = 0.191 eV per atom

=====

Here is a relaxed structure of LiLa3Sb3 from Alexandria via LeMat-Bulk. Energies are from PBE-GGA.

Cell lengths 19.834, 6.659, 13.237 Å; angles 90.00, 90.00, 90.00 degrees
Space group Cmce (No. 64)
One atom of each set of equivalent atoms:
Li 0.082 0.000 0.000
La 0.000 0.211 0.361
La 0.171 0.225 0.631
Sb 0.000 0.230 0.118
Sb 0.165 0.233 0.879

E_form (uncorrected) = -1.109 eV per atom

=====

It is found that the magnetization values, taken in the order of the records, are 0.0000, 1.1701, 0.0000, 0.0002, 0.2501, 0.0000, 0.0000, 0.0000 μB per atom.